[1]
LaEr2In | Alexandria | PBE | optimized geometry; calculated formation energy = -57 kJ/mol of formula units; ΔE to the lowest computed polymorph = 97.8 meV per atom; VASP energy = -17.4 eV/f.u.
1.0
0.0000 3.9028 3.9028
3.9028 0.0000 3.9028
3.9028 3.9028 0.0000
La Er In
1 2 1
Direct
0.0000 0.0000 0.0000
0.2500 0.2500 0.2500
0.5000 0.5000 0.5000
0.7500 0.7500 0.7500


[2]
La9ErIn2 | Alexandria | PBE | optimized geometry; calculated formation energy = -217 kJ/mol of formula units; VASP energy = -56.6 eV/f.u.
1.0
5.0929 0.0000 0.0000
0.0000 5.0929 0.0000
0.0000 0.0000 15.4583
La Er In
9 1 2
Direct
0.0000 0.0000 0.0000
0.0000 0.0000 0.3359
0.0000 0.0000 0.6641
0.0000 0.5000 0.1715
0.0000 0.5000 0.5000
0.0000 0.5000 0.8285
0.5000 0.0000 0.1715
0.5000 0.0000 0.5000
0.5000 0.0000 0.8285
0.5000 0.5000 0.0000
0.5000 0.5000 0.3372
0.5000 0.5000 0.6628


[3]
La2Er2In3 | Alexandria | PBE | optimized geometry; calculated formation energy = -225 kJ/mol of formula units; ΔE to the lowest computed polymorph = 0.0 meV per atom; VASP energy = -29.5 eV/f.u.
1.0
2.3733 -12.5113 0.0000
2.3733 12.5113 0.0000
0.0000 0.0000 3.4315
La Er In
2 2 3
Direct
0.0744 0.9256 0.0000
0.9256 0.0744 0.0000
0.2059 0.7941 0.0000
0.7941 0.2059 0.0000
0.3432 0.6568 0.5000
0.5000 0.5000 0.5000
0.6568 0.3432 0.5000


[4]
La15Er4In | Alexandria | PBE | optimized geometry; calculated formation energy = -91 kJ/mol of formula units; VASP energy = -95.8 eV/f.u.
1.0
5.1605 0.0000 0.0000
0.0000 5.1605 0.0000
0.0000 0.0000 25.9710
La Er In
15 4 1
Direct
0.0000 0.0000 0.0000
0.0000 0.0000 0.1986
0.0000 0.0000 0.3987
0.0000 0.0000 0.6013
0.0000 0.0000 0.8014
0.0000 0.5000 0.0973
0.0000 0.5000 0.2989
0.0000 0.5000 0.5000
0.0000 0.5000 0.7011
0.0000 0.5000 0.9027
0.5000 0.0000 0.0973
0.5000 0.0000 0.2989
0.5000 0.0000 0.5000
0.5000 0.0000 0.7011
0.5000 0.0000 0.9027
0.5000 0.5000 0.1983
0.5000 0.5000 0.3996
0.5000 0.5000 0.6004
0.5000 0.5000 0.8017
0.5000 0.5000 0.0000


[5]
LaErIn2 | Alexandria | PBE | optimized geometry; calculated formation energy = -189 kJ/mol of formula units; VASP energy = -16.9 eV/f.u.
1.0
3.8150 0.0000 0.0000
0.0000 3.8150 0.0000
0.0000 0.0000 7.7924
La Er In
1 1 2
Direct
0.0000 0.0000 0.0000
0.0000 0.0000 0.5000
0.5000 0.5000 0.2721
0.5000 0.5000 0.7279


[6]
LaEr9In2 | Alexandria | PBE | optimized geometry; calculated formation energy = -168 kJ/mol of formula units; VASP energy = -53.2 eV/f.u.
1.0
4.8382 0.0000 0.0000
0.0000 4.8382 0.0000
0.0000 0.0000 14.9857
La Er In
1 9 2
Direct
0.0000 0.0000 0.0000
0.0000 0.5000 0.1774
0.0000 0.5000 0.5000
0.0000 0.5000 0.8226
0.5000 0.0000 0.1774
0.5000 0.0000 0.5000
0.5000 0.0000 0.8226
0.5000 0.5000 0.0000
0.5000 0.5000 0.3406
0.5000 0.5000 0.6594
0.0000 0.0000 0.3402
0.0000 0.0000 0.6598


What did the first record say?
LaEr2In | Alexandria | PBE | optimized geometry; calculated formation energy = -57 kJ/mol of formula units; ΔE to the lowest computed polymorph = 97.8 meV per atom; VASP energy = -17.4 eV/f.u.
1.0
0.0000 3.9028 3.9028
3.9028 0.0000 3.9028
3.9028 3.9028 0.0000
La Er In
1 2 1
Direct
0.0000 0.0000 0.0000
0.2500 0.2500 0.2500
0.5000 0.5000 0.5000
0.7500 0.7500 0.7500